# CrCdO2 (GGA+U, relaxed)
data_CrCdO2
_chemical_formula_sum 'Cr2 Cd2 O4'
_space_group_name_H-M_alt 'P 1'
_space_group_IT_number 1
_space_group_name_Hall 'P 1'
_cell_length_a 4.789
_cell_length_b 4.789
_cell_length_c 6.266
_cell_angle_alpha 67.54
_cell_angle_beta 67.54
_cell_angle_gamma 90.00
loop_
_atom_site_label
_atom_site_fract_x
_atom_site_fract_y
_atom_site_fract_z
Cr1 0.500 0.500 0.000
Cr2 0.250 0.750 0.500
O1 0.578 0.125 0.250
O2 0.172 0.625 0.250
O3 0.375 0.422 0.750
O4 0.875 0.828 0.750
Cd1 0.000 0.000 0.000
Cd2 0.750 0.250 0.500
# **Spin magnetization**: 0.9450 μB per atom
# **Theoretical density**: 5.39 g/cm³
# **Space-group type**: I-42d
# **V**: 15.1 A^3/atom
# **Raw total energy**: -5.670 eV/atom